Compound: Ti2Co
Source: the Alexandria database
Functional: PBE-GGA
Structure: optimized geometry

Cell and atoms, written as POSCAR:
```
Ti2Co
1.0
0.000 3.554 3.554
3.554 0.000 3.554
3.554 3.554 0.000
Co Ti
2 4
direct
0.250 0.250 0.250 Co
0.000 0.000 0.000 Co
0.125 0.625 0.625 Ti
0.625 0.625 0.625 Ti
0.625 0.125 0.625 Ti
0.625 0.625 0.125 Ti
```

* crystal system: cubic
* formation energy: 0.439 eV/atom
* space-group type: Fd-3m, No. 227
* calculated volume: 89.8 Å³ per cell


Compound: Tl2In4GaPb
Source: the Alexandria database
Functional: PBE-GGA
Structure: optimized geometry

Cell and atoms, written as POSCAR:
```
Tl2In4GaPb
1.0
-2.192 1.208 4.889
3.006 -3.770 2.279
8.510 1.363 3.479
In Tl Ga Pb
4 2 1 1
direct
0.500 0.233 0.766 In
0.000 0.736 0.765 In
0.500 0.767 0.234 In
0.000 0.264 0.235 In
0.500 0.000 0.500 Tl
0.000 0.000 0.000 Tl
0.500 0.500 0.000 Ga
0.000 0.500 0.500 Pb
```

* crystal system: monoclinic
* formation energy: 0.039 eV/atom
* space-group type: P2/m, No. 10
* calculated volume: 223.2 Å³ per cell


Compound: ZrGa2Hg2
Source: the Alexandria database
Functional: PBE-GGA
Structure: optimized geometry

Cell and atoms, written as POSCAR:
```
ZrGa2Hg2
1.0
7.695 0.000 0.000
0.000 7.695 0.000
0.000 0.000 3.463
Ga Hg Zr
4 4 2
direct
0.133 0.367 0.000 Ga
0.633 0.133 0.000 Ga
0.867 0.633 0.000 Ga
0.367 0.867 0.000 Ga
0.169 0.669 0.500 Hg
0.669 0.831 0.500 Hg
0.831 0.331 0.500 Hg
0.331 0.169 0.500 Hg
0.500 0.500 0.000 Zr
0.000 0.000 0.000 Zr
```

* crystal system: tetragonal
* E above lowest polymorph: 0.000 eV per atom
* formation energy: 0.001 eV/atom
* space-group type: P4/mbm, No. 127
* calculated volume: 205.1 Å³ per cell


Compound: BiPPt3
Source: the Alexandria database
Functional: PBE-GGA
Structure: optimized geometry

Cell and atoms, written as POSCAR:
```
BiPPt3
1.0
-3.301 6.619 2.230
-4.744 -1.449 -2.721
-2.974 -3.936 7.281
Pt Bi P
12 4 4
direct
0.233 0.781 0.498 Pt
0.233 0.781 0.002 Pt
0.733 0.719 0.498 Pt
0.767 0.219 0.502 Pt
0.625 0.992 0.250 Pt
0.267 0.281 0.998 Pt
0.375 0.008 0.750 Pt
0.875 0.492 0.750 Pt
0.267 0.281 0.502 Pt
0.733 0.719 0.002 Pt
0.767 0.219 0.998 Pt
0.125 0.508 0.250 Pt
0.505 0.487 0.250 Bi
0.495 0.513 0.750 Bi
0.005 0.013 0.250 Bi
0.995 0.987 0.750 Bi
0.500 0.000 0.500 P
0.000 0.500 0.500 P
0.000 0.500 0.000 P
0.500 0.000 0.000 P
```

* crystal system: orthorhombic
* E above lowest polymorph: 0.000 eV per atom
* formation energy: -0.288 eV/atom
* space-group type: Pnma, No. 62
* calculated volume: 384.4 Å³ per cell


Compound: Hf3TiBe
Source: the Alexandria database
Functional: PBE-GGA
Structure: optimized geometry

Cell and atoms, written as POSCAR:
```
Hf3TiBe
1.0
-0.691 -4.133 2.458
-0.511 -2.407 -4.190
4.782 -0.855 -0.092
Hf Ti Be
3 1 1
direct
0.000 0.500 0.000 Hf
0.000 0.000 0.500 Hf
0.500 0.000 0.000 Hf
0.000 0.000 0.000 Ti
0.500 0.500 0.500 Be
```

* crystal system: cubic
* E above lowest polymorph: 0.769 eV per atom
* formation energy: 1.273 eV/atom
* space-group type: Pm-3m, No. 221
* calculated volume: 114.7 Å³ per cell


Compound: Cs2RbGaCl6
Source: the Alexandria database
Functional: PBE-GGA
Structure: optimized geometry

Cell and atoms, written as POSCAR:
```
Cs2RbGaCl6
1.0
8.045 0.000 0.000
0.000 7.538 0.000
0.000 -3.769 6.528
Cs Cl Ga Rb
2 6 1 1
direct
0.857 0.667 0.333 Cs
0.143 0.333 0.667 Cs
0.175 0.849 0.698 Cl
0.825 0.151 0.849 Cl
0.825 0.151 0.302 Cl
0.175 0.302 0.151 Cl
0.175 0.849 0.151 Cl
0.825 0.698 0.849 Cl
0.000 0.000 0.000 Ga
0.500 0.000 0.000 Rb
```

* crystal system: trigonal
* formation energy from raw total energies: -1.645 eV/atom
* space-group type: P-3m1, No. 164
* calculated volume: 395.9 Å³ per cell


Compound: Ta2ZnPt2
Source: the Alexandria database
Functional: PBE-GGA
Structure: optimized geometry

Cell and atoms, written as POSCAR:
```
Ta2ZnPt2
1.0
7.825 0.000 0.000
0.000 7.825 0.000
0.000 0.000 2.859
Ta Pt Zn
4 4 2
direct
0.170 0.670 0.500 Ta
0.330 0.170 0.500 Ta
0.830 0.330 0.500 Ta
0.670 0.830 0.500 Ta
0.873 0.627 0.000 Pt
0.627 0.127 0.000 Pt
0.127 0.373 0.000 Pt
0.373 0.873 0.000 Pt
0.500 0.500 0.000 Zn
0.000 0.000 0.000 Zn
```

* crystal system: tetragonal
* formation energy: -0.352 eV/atom
* space-group type: P4/mbm, No. 127
* calculated volume: 175.0 Å³ per cell


Compound: LiSeN2Cl
Source: the Alexandria database
Functional: PBE-GGA
Structure: optimized geometry

Cell and atoms, written as POSCAR:
```
LiSeN2Cl
1.0
4.120 0.000 0.000
0.000 4.120 0.000
0.000 0.000 5.244
N Li Cl Se
2 1 1 1
direct
0.000 0.500 0.000 N
0.500 0.000 0.000 N
0.500 0.500 0.500 Li
0.000 0.000 0.000 Cl
0.000 0.000 0.500 Se
```

* crystal system: tetragonal
* E above lowest polymorph: 0.056 eV per atom
* formation energy from raw total energies: 1.790 eV/atom
* space-group type: P4/mmm, No. 123
* calculated volume: 89.0 Å³ per cell


Compound: CoMo2N
Source: the Alexandria database
Functional: PBE-GGA
Structure: optimized geometry

Cell and atoms, written as POSCAR:
```
CoMo2N
1.0
4.724 0.000 0.000
0.000 4.724 0.000
2.362 2.362 5.332
Mo Co N
4 2 2
direct
0.375 0.437 0.750 Mo
0.875 0.813 0.750 Mo
0.563 0.125 0.250 Mo
0.187 0.625 0.250 Mo
0.750 0.250 0.500 Co
0.000 0.000 0.000 Co
0.250 0.750 0.500 N
0.500 0.500 0.000 N
```

* crystal system: tetragonal
* E above lowest polymorph: 0.000 eV per atom
* formation energy from raw total energies: 0.372 eV/atom
* space-group type: I-42d, No. 122
* calculated volume: 119.0 Å³ per cell


Compound: LaPrHgTe
Source: the Alexandria database
Functional: PBE-GGA
Structure: optimized geometry

Cell and atoms, written as POSCAR:
```
LaPrHgTe
1.0
4.533 0.000 0.000
0.000 4.533 0.000
0.000 0.000 6.472
Pr Hg La Te
1 1 1 1
direct
0.000 0.000 0.500 Pr
0.000 0.000 0.000 Hg
0.500 0.500 0.000 La
0.500 0.500 0.500 Te
```

* crystal system: tetragonal
* formation energy from raw total energies: -0.943 eV/atom
* space-group type: P4/mmm, No. 123
* calculated volume: 133.0 Å³ per cell


Compound: Hf4Mg3
Source: the Alexandria database
Functional: PBE-GGA
Structure: optimized geometry

Cell and atoms, written as POSCAR:
```
Hf4Mg3
1.0
3.044 0.000 0.380
-0.048 3.044 0.380
-0.716 -0.727 18.097
Hf Mg
4 3
direct
0.428 0.428 0.145 Hf
0.130 0.130 0.739 Hf
0.870 0.870 0.261 Hf
0.572 0.572 0.855 Hf
0.783 0.783 0.434 Mg
0.000 0.000 0.000 Mg
0.217 0.217 0.566 Mg
```

* crystal system: tetragonal
* formation energy: 0.168 eV/atom
* space-group type: I4/mmm, No. 139
* calculated volume: 169.4 Å³ per cell


Compound: Be2GaCo2
Source: the Alexandria database
Functional: PBE-GGA
Structure: optimized geometry

Cell and atoms, written as POSCAR:
```
Be2GaCo2
1.0
-2.157 5.590 -0.884
-0.033 -0.959 -5.980
-2.494 -0.937 0.164
Be Co Ga
4 4 2
direct
0.622 0.122 0.000 Be
0.878 0.622 0.000 Be
0.122 0.378 0.000 Be
0.378 0.878 0.000 Be
0.170 0.670 0.500 Co
0.670 0.830 0.500 Co
0.830 0.330 0.500 Co
0.330 0.170 0.500 Co
0.500 0.500 0.000 Ga
0.000 0.000 0.000 Ga
```

* crystal system: tetragonal
* E above lowest polymorph: 0.000 eV per atom
* formation energy: -0.277 eV/atom
* space-group type: P4/mbm, No. 127
* calculated volume: 97.9 Å³ per cell


Compound: PrNdTe3
Source: the Alexandria database
Functional: PBE-GGA
Structure: optimized geometry

Cell and atoms, written as POSCAR:
```
PrNdTe3
1.0
-3.059 2.094 -2.339
-1.061 -7.450 -1.177
-6.892 -0.388 8.667
Te Pr Nd
6 2 2
direct
0.904 0.809 0.250 Te
0.648 0.297 0.432 Te
0.352 0.703 0.932 Te
0.096 0.191 0.750 Te
0.648 0.297 0.068 Te
0.352 0.703 0.568 Te
0.752 0.504 0.750 Pr
0.248 0.496 0.250 Pr
0.000 0.000 0.000 Nd
0.000 0.000 0.500 Nd
```

* crystal system: orthorhombic
* E above lowest polymorph: 0.056 eV per atom
* formation energy from raw total energies: -1.418 eV/atom
* space-group type: Cmcm, No. 63
* calculated volume: 354.3 Å³ per cell


Compound: ScTc2P2
Source: the Alexandria database
Functional: PBE-GGA
Structure: optimized geometry

Cell and atoms, written as POSCAR:
```
ScTc2P2
1.0
-5.918 -1.198 -3.491
0.170 -6.678 2.004
-1.574 0.690 2.433
Tc P Sc
4 4 2
direct
0.144 0.644 0.500 Tc
0.356 0.144 0.500 Tc
0.856 0.356 0.500 Tc
0.644 0.856 0.500 Tc
0.353 0.853 0.000 P
0.647 0.147 0.000 P
0.147 0.353 0.000 P
0.853 0.647 0.000 P
0.500 0.500 0.000 Sc
0.000 0.000 0.000 Sc
```

* crystal system: tetragonal
* E above lowest polymorph: 0.000 eV per atom
* formation energy: -0.531 eV/atom
* space-group type: P4/mbm, No. 127
* calculated volume: 144.9 Å³ per cell


Compound: CeSmH8Rh2
Source: the Alexandria database
Functional: PBE-GGA
Structure: optimized geometry

Cell and atoms, written as POSCAR:
```
CeSmH8Rh2
1.0
-0.206 -4.403 -1.397
3.891 -2.436 -0.549
0.890 -4.183 5.402
H Rh Ce Sm
8 2 1 1
direct
0.863 0.863 0.411 H
0.543 0.081 0.833 H
0.543 0.543 0.833 H
0.457 0.457 0.167 H
0.919 0.457 0.167 H
0.081 0.543 0.833 H
0.457 0.919 0.167 H
0.137 0.137 0.589 H
0.771 0.771 0.688 Rh
0.229 0.229 0.312 Rh
0.500 0.500 0.500 Ce
0.000 0.000 0.000 Sm
```

* crystal system: trigonal
* space-group type: R-3m, No. 166
* calculated volume: 117.6 Å³ per cell


Compound: NdAl2Ag2
Source: the Alexandria database
Functional: PBE-GGA
Structure: optimized geometry

Cell and atoms, written as POSCAR:
```
NdAl2Ag2
1.0
4.131 0.000 -1.660
-0.667 4.077 -1.660
0.084 0.099 6.179
Al Ag Nd
2 2 1
direct
0.881 0.381 0.262 Al
0.119 0.619 0.738 Al
0.250 0.250 0.000 Ag
0.750 0.750 0.000 Ag
0.500 0.000 0.500 Nd
```

* crystal system: tetragonal
* E above lowest polymorph: 0.000 eV per atom
* formation energy: -0.340 eV/atom
* space-group type: I4/mmm, No. 139
* calculated volume: 105.4 Å³ per cell


Compound: Hg6H
Source: the Alexandria database
Functional: PBE-GGA
Structure: optimized geometry

Cell and atoms, written as POSCAR:
```
Hg6H
1.0
7.385 0.000 0.000
-2.462 6.963 0.000
-2.462 -3.481 6.030
Hg H
6 1
direct
0.500 0.250 0.750 Hg
0.500 0.750 0.250 Hg
0.250 0.750 0.500 Hg
0.750 0.250 0.500 Hg
0.250 0.500 0.750 Hg
0.750 0.500 0.250 Hg
0.000 0.000 0.000 H
```

* crystal system: cubic
* space-group type: Im-3m, No. 229
* calculated volume: 310.1 Å³ per cell


Compound: SrLi2Br2
Source: the Alexandria database
Functional: PBE-GGA
Structure: optimized geometry

Cell and atoms, written as POSCAR:
```
SrLi2Br2
1.0
9.249 0.000 0.000
0.000 9.249 0.000
0.000 0.000 3.731
Li Br Sr
4 4 2
direct
0.098 0.402 0.000 Li
0.402 0.902 0.000 Li
0.902 0.598 0.000 Li
0.598 0.098 0.000 Li
0.370 0.130 0.500 Br
0.130 0.630 0.500 Br
0.870 0.370 0.500 Br
0.630 0.870 0.500 Br
0.500 0.500 0.000 Sr
0.000 0.000 0.000 Sr
```

* crystal system: tetragonal
* E above lowest polymorph: 0.303 eV per atom
* formation energy from raw total energies: -0.728 eV/atom
* space-group type: P4/mbm, No. 127
* calculated volume: 319.2 Å³ per cell


Compound: SrZn6Ge2
Source: the Alexandria database
Functional: PBE-GGA
Structure: optimized geometry

Cell and atoms, written as POSCAR:
```
SrZn6Ge2
1.0
-1.440 2.314 3.237
-1.741 -3.461 1.700
7.769 -1.636 4.625
Zn Ge Sr
6 2 1
direct
0.000 0.500 0.311 Zn
0.500 0.000 0.689 Zn
0.000 0.000 0.500 Zn
0.500 0.000 0.311 Zn
0.500 0.500 0.500 Zn
0.000 0.500 0.689 Zn
0.500 0.500 0.146 Ge
0.500 0.500 0.854 Ge
0.000 0.000 0.000 Sr
```

* crystal system: tetragonal
* formation energy: -0.162 eV/atom
* space-group type: P4/mmm, No. 123
* calculated volume: 164.5 Å³ per cell


Compound: Tb6Pr12Er
Source: the Alexandria database
Functional: PBE-GGA
Structure: optimized geometry

Cell and atoms, written as POSCAR:
```
Tb6Pr12Er
1.0
8.912 0.115 -2.748
-3.753 8.084 -2.748
0.072 0.115 9.326
Er Tb Pr
1 6 12
direct
0.000 0.000 0.000 Er
0.807 0.552 0.917 Tb
0.193 0.448 0.083 Tb
0.448 0.083 0.193 Tb
0.917 0.807 0.552 Tb
0.552 0.917 0.807 Tb
0.083 0.193 0.448 Tb
0.176 0.721 0.875 Pr
0.586 0.487 0.192 Pr
0.875 0.176 0.721 Pr
0.513 0.808 0.414 Pr
0.279 0.125 0.824 Pr
0.487 0.192 0.586 Pr
0.125 0.824 0.279 Pr
0.824 0.279 0.125 Pr
0.721 0.875 0.176 Pr
0.808 0.414 0.513 Pr
0.414 0.513 0.808 Pr
0.192 0.586 0.487 Pr
```

* crystal system: trigonal
* E above lowest polymorph: 0.103 eV per atom
* formation energy: 0.231 eV/atom
* space-group type: R-3, No. 148
* calculated volume: 681.5 Å³ per cell


Compound: In2BiPb9
Source: the Alexandria database
Functional: PBE-GGA
Structure: optimized geometry

Cell and atoms, written as POSCAR:
```
In2BiPb9
1.0
5.098 0.000 0.000
0.000 5.098 0.000
0.000 0.000 14.362
In Pb Bi
2 9 1
direct
0.000 0.000 0.664 In
0.000 0.000 0.336 In
0.000 0.500 0.500 Pb
0.000 0.500 0.832 Pb
0.000 0.500 0.168 Pb
0.500 0.500 0.332 Pb
0.500 0.000 0.168 Pb
0.500 0.500 0.668 Pb
0.500 0.000 0.500 Pb
0.500 0.000 0.832 Pb
0.500 0.500 0.000 Pb
0.000 0.000 0.000 Bi
```

* crystal system: tetragonal
* formation energy: 0.029 eV/atom
* space-group type: P4/mmm, No. 123
* calculated volume: 373.2 Å³ per cell


Compound: AlCdCl2
Source: the Alexandria database
Functional: PBE-GGA
Structure: optimized geometry

Cell and atoms, written as POSCAR:
```
AlCdCl2
1.0
-2.324 1.503 -2.363
2.923 -1.870 -1.096
-4.907 -7.648 -0.038
Cd Al Cl
1 1 2
direct
0.500 0.500 0.738 Cd
0.000 0.000 0.504 Al
0.500 0.500 0.320 Cl
0.000 0.000 0.939 Cl
```

* crystal system: orthorhombic
* E above lowest polymorph: 0.136 eV per atom
* formation energy from raw total energies: -0.549 eV/atom
* space-group type: Cmm2, No. 35
* calculated volume: 102.1 Å³ per cell


Compound: Pm2Pr5Er5
Source: the Alexandria database
Functional: PBE-GGA
Structure: optimized geometry

Cell and atoms, written as POSCAR:
```
Pm2Pr5Er5
1.0
-4.348 0.386 -2.632
-0.738 -6.559 -4.679
-6.700 -6.854 5.127
Er Pr Pm
5 5 2
direct
0.582 0.085 0.752 Er
0.667 0.666 0.999 Er
0.500 0.500 0.500 Er
0.418 0.915 0.248 Er
0.333 0.334 0.001 Er
0.165 0.169 0.502 Pr
0.000 0.000 0.000 Pr
0.751 0.252 0.247 Pr
0.835 0.831 0.498 Pr
0.249 0.748 0.753 Pr
0.917 0.413 0.752 Pm
0.083 0.587 0.248 Pm
```

* crystal system: monoclinic
* formation energy: 0.019 eV/atom
* space-group type: C2/m, No. 12
* calculated volume: 401.6 Å³ per cell


For each record above, in turn, the calculated calculated total energy values are -43.16; -22.11; -30.40; -115.41; -35.11; -33.23; -77.65; -14.95; -71.21; -16.92; -43.42; -52.15; -52.13; -81.07; -55.85; -19.66; -2.09; -24.99; -20.02; -85.31; -42.39; -10.55; -55.99 eV for the cell shown.
For each record above, in turn, the calculated DOS at the Fermi energy values are 10.644; 3.214; 3.764; 7.877; 8.702; 0.000; 5.800; 1.570; 4.649; 3.435; 3.273; 6.164; 0.307; 5.891; 8.051; 2.549; 1.530; 3.280; 1.313; 30.619; 9.486; 0.285; 17.506 states/eV/cell.
For each record above, in turn, the calculated calculated density values are 5.72; 8.52; 10.23; 14.26; 8.58; 2.66; 15.51; 2.79; 7.39; 7.59; 7.72; 6.97; 6.26; 6.94; 7.12; 6.52; 6.45; 2.72; 6.31; 6.85; 10.25; 3.42; 7.57 g cm⁻³.